1.
{"formula": "HfNb2Pb", "functional": "PBE", "state": "relaxed", "sg": "F-43m", "lattice": [[0.000, 3.431, 3.431], [3.431, 0.000, 3.431], [3.431, 3.431, 0.000]], "species": ["Hf", "Nb", "Nb", "Pb"], "frac_coords": [[0.250, 0.250, 0.250], [0.000, 0.000, 0.000], [0.750, 0.750, 0.750], [0.500, 0.500, 0.500]]}

2.
{"formula": "HfNbPb2", "functional": "PBE", "state": "relaxed", "sg": "F-43m", "lattice": [[0.000, 3.619, 3.619], [3.619, 0.000, 3.619], [3.619, 3.619, 0.000]], "species": ["Hf", "Nb", "Pb", "Pb"], "frac_coords": [[0.250, 0.250, 0.250], [0.500, 0.500, 0.500], [0.000, 0.000, 0.000], [0.750, 0.750, 0.750]]}

3.
{"formula": "HfNbPd2", "functional": "PBE", "state": "relaxed", "delta_e_f_ev_per_atom": -0.26, "sg": "F-43m", "lattice": [[-3.376, -2.231, -2.133], [-4.348, 0.719, 1.225], [-2.822, 2.259, -2.803]], "species": ["Hf", "Nb", "Pd", "Pd"], "frac_coords": [[0.500, 0.500, 0.500], [0.750, 0.750, 0.750], [0.000, 0.000, 0.000], [0.250, 0.250, 0.250]]}

4.
{"formula": "HfNbSi2Pd", "functional": "PBE", "state": "relaxed", "sg": "C2/m", "lattice": [[5.014, -1.958, 0.000], [5.014, 1.958, 0.000], [-4.634, 0.000, 8.205]], "species": ["Hf", "Hf", "Nb", "Nb", "Pd", "Pd", "Si", "Si", "Si", "Si"], "frac_coords": [[0.979, 0.979, 0.310], [0.021, 0.021, 0.690], [0.189, 0.189, 0.099], [0.811, 0.811, 0.901], [0.710, 0.710, 0.357], [0.290, 0.290, 0.643], [0.464, 0.464, 0.103], [0.366, 0.366, 0.429], [0.634, 0.634, 0.571], [0.536, 0.536, 0.897]]}

5.
{"formula": "PrHfNb", "functional": "PBE", "state": "relaxed", "delta_e_f_ev_per_atom": 0.83, "sg": "F-43m", "lattice": [[-3.387, -3.471, -0.207], [-1.678, -2.000, 4.092], [-4.527, 0.935, 1.479]], "species": ["Hf", "Nb", "Pr"], "frac_coords": [[0.250, 0.250, 0.250], [0.000, 0.000, 0.000], [0.750, 0.750, 0.750]]}

6.
{"formula": "HfNbPt2", "functional": "PBE", "state": "relaxed", "delta_e_f_ev_per_atom": -0.54, "sg": "F-43m", "lattice": [[0.000, 3.240, 3.240], [3.240, 0.000, 3.240], [3.240, 3.240, 0.000]], "species": ["Hf", "Nb", "Pt", "Pt"], "frac_coords": [[0.000, 0.000, 0.000], [0.250, 0.250, 0.250], [0.500, 0.500, 0.500], [0.750, 0.750, 0.750]]}

7.
{"formula": "Hf3Nb2Pt2", "functional": "PBE", "state": "relaxed", "delta_e_f_ev_per_atom": -0.11, "sg": "R3m", "lattice": [[7.681, 1.877, 0.614], [5.277, 5.656, 1.752], [5.858, 2.269, 4.842]], "species": ["Hf", "Hf", "Hf", "Nb", "Nb", "Pt", "Pt"], "frac_coords": [[0.375, 0.375, 0.375], [0.626, 0.626, 0.626], [0.876, 0.876, 0.876], [0.243, 0.243, 0.243], [0.757, 0.757, 0.757], [0.003, 0.003, 0.003], [0.494, 0.494, 0.494]]}

8.
{"formula": "HfNbS4", "functional": "PBE", "state": "relaxed", "sg": "P-6m2", "lattice": [[3.440, 0.000, 0.000], [-1.720, 2.979, 0.000], [0.000, 0.000, 12.704]], "species": ["Hf", "Nb", "S", "S", "S", "S"], "frac_coords": [[0.000, 0.000, 0.000], [0.000, 0.000, 0.500], [0.667, 0.333, 0.125], [0.333, 0.667, 0.379], [0.333, 0.667, 0.621], [0.667, 0.333, 0.875]]}

E (computed, eV/cell): -33.17, -25.19, -31.44, -79.58, -22.35, -34.31, -62.95, -43.58